Record 1
A relaxed structure of HfAs2SBr. Source: Alexandria, functional PBE.

Summary:
formation energy (no corrections): 616 meV per atom

a = 4.760 Å, b = 4.760 Å, c = 4.906 Å
α = 90.00°, β = 90.00°, γ = 90.00°
Atoms (fractional coordinates):
Hf: 0.000 0.000 0.000
As: 0.000 0.500 0.500
As: 0.500 0.000 0.500
S: 0.500 0.500 0.500
Br: 0.500 0.500 0.000

***

Record 2
A relaxed structure of HfSb2AsBr. Source: Alexandria, functional PBE.

Summary:
formation energy (no corrections): 692 meV per atom

a = 5.345 Å, b = 5.345 Å, c = 4.972 Å
α = 90.00°, β = 90.00°, γ = 90.00°
Atoms (fractional coordinates):
Hf: 0.000 0.000 0.000
Sb: 0.000 0.500 0.500
Sb: 0.500 0.000 0.500
As: 0.500 0.500 0.500
Br: 0.500 0.500 0.000

***

Record 3
A relaxed structure of HfScAsBr2. Source: Alexandria, functional PBE.

Summary:
formation energy (no corrections): -266 meV per atom

a = 5.144 Å, b = 5.144 Å, c = 5.325 Å
α = 90.00°, β = 90.00°, γ = 90.00°
Atoms (fractional coordinates):
Hf: 0.000 0.000 0.000
Sc: 0.500 0.500 0.500
As: 0.000 0.000 0.500
Br: 0.000 0.500 0.000
Br: 0.500 0.000 0.000

***

Record 4
A relaxed structure of HfScAsBr2. Source: Alexandria, functional PBE.

Summary:
formation energy (no corrections): -71 meV per atom

a = 5.008 Å, b = 5.008 Å, c = 5.509 Å
α = 90.00°, β = 90.00°, γ = 90.00°
Atoms (fractional coordinates):
Hf: 0.000 0.000 0.000
Sc: 0.500 0.500 0.500
As: 0.500 0.500 0.000
Br: 0.000 0.500 0.500
Br: 0.500 0.000 0.500